Here is a relaxed structure of Na3Hg2Se3 from Alexandria. Energies are from GGA-PBE.

Output
E = -78.3 eV for the cell shown
formation energy without anion corrections = -571 meV/atom

Cell lengths 4.329, 12.825, 15.385 Å; angles 90.00, 90.00, 90.00 degrees
Space group Cmcm (No. 63)
One atom of each set of equivalent atoms:
Na 0.000 0.034 0.120 [8 per cell]
Na 0.000 0.289 0.250 [4 per cell]
Hg 0.000 0.266 0.591 [8 per cell]
Se 0.000 0.377 0.750 [4 per cell]
Se 0.000 0.378 0.071 [8 per cell]